Run one
Pr4Hg2Rh | PBE | relaxed

a = 4.765 Å, b = 6.115 Å, c = 8.209 Å
α = 74.48°, β = 73.13°, γ = 67.07°
Element x y z (fractional)
Pr 0.076 0.202 0.647
Pr 0.924 0.798 0.353
Pr 0.327 0.278 0.068
Pr 0.673 0.722 0.932
Hg 0.360 0.613 0.667
Hg 0.640 0.387 0.333
Rh 0.000 0.000 0.000



Run two
Pr4Hg2Rh | PBE | relaxed

a = 4.040 Å, b = 6.813 Å, c = 8.962 Å
α = 113.30°, β = 103.03°, γ = 90.00°
Element x y z (fractional)
Pr 0.906 0.252 0.812
Pr 0.094 0.748 0.188
Pr 0.610 0.270 0.219
Pr 0.390 0.730 0.781
Hg 0.745 0.785 0.490
Hg 0.255 0.215 0.510
Rh 0.000 0.000 0.000



The structure with the least stability is run two.



Run one
Pr4HgRh2 | PBE | relaxed

a = 7.947 Å, b = 7.947 Å, c = 7.947 Å
α = 108.58°, β = 111.28°, γ = 108.58°
Element x y z (fractional)
Pr 0.149 0.886 0.395
Pr 0.605 0.754 0.491
Pr 0.013 0.614 0.759
Pr 0.241 0.254 0.855
Pr 0.601 0.746 0.987
Pr 0.737 0.246 0.851
Pr 0.509 0.114 0.263
Pr 0.145 0.386 0.399
Hg 0.000 0.000 0.000
Hg 0.750 0.500 0.250
Rh 0.875 0.122 0.497
Rh 0.503 0.378 0.625
Rh 0.375 0.878 0.753
Rh 0.247 0.622 0.125



Run two
Pr4HgRh2 | PBE | relaxed

a = 8.206 Å, b = 8.206 Å, c = 8.222 Å
α = 109.39°, β = 109.42°, γ = 109.53°
Element x y z (fractional)
Pr 0.915 0.230 0.317
Pr 0.335 0.520 0.184
Pr 0.914 0.599 0.683
Pr 0.770 0.085 0.684
Pr 0.401 0.086 0.316
Pr 0.336 0.151 0.816
Pr 0.480 0.665 0.817
Pr 0.849 0.664 0.183
Hg 0.250 0.750 0.500
Hg 0.000 0.000 0.000
Rh 0.625 0.375 0.750
Rh 0.625 0.875 0.250
Rh 0.625 0.375 0.250
Rh 0.125 0.375 0.750



The structure with the least stability is run two.